(w)
Here is crystalline ScO2F at its relaxed geometry from the Alexandria database. Energies are from GGA-PBE.

Geometry as POSCAR:
```
ScO2F
1.0
0.0000 2.6880 2.6880
2.6880 0.0000 2.6880
2.6880 2.6880 0.0000
Sc O F
1 2 1
Direct
0.0000 0.0000 0.0000
0.2500 0.2500 0.2500
0.7500 0.7500 0.7500
0.5000 0.5000 0.5000
```

Space-group type: Fm-3m
DOS at the Fermi energy in states/eV/f.u.: 3.38

(x)
Here is crystalline ScO2F at its relaxed geometry from the Alexandria database. Energies are from GGA-PBE.

Geometry as POSCAR:
```
ScO2F
1.0
-1.7437 1.7437 7.4999
1.7437 -1.7437 7.4999
1.7437 1.7437 -7.4999
Sc O F
2 4 2
Direct
0.0000 0.0000 0.0000
0.7500 0.2500 0.5000
0.3750 0.1898 0.3148
0.8102 0.1250 0.1852
0.8750 0.0602 0.6852
0.9398 0.6250 0.8148
0.2500 0.7500 0.5000
0.5000 0.5000 0.0000
```

Space-group type: I-42d
DOS at the Fermi energy in states/eV/f.u.: 0.52

What should be chosen as the least stable of them? Choose (w).

(w)
Here is crystalline ScSeOF2 at its relaxed geometry from the Alexandria database. Energies are from GGA-PBE.

Geometry as POSCAR:
```
ScSeOF2
1.0
4.6889 0.0000 0.0000
0.0000 4.6889 0.0000
0.0000 0.0000 3.7641
Sc Se O F
1 1 1 2
Direct
0.0000 0.0000 0.0000
0.5000 0.5000 0.5000
0.5000 0.5000 0.0000
0.0000 0.5000 0.5000
0.5000 0.0000 0.5000
```

Space-group type: P4/mmm
DOS at the Fermi energy in states/eV/f.u.: 7.49

(x)
Here is crystalline ScSeOF2 at its relaxed geometry from the Alexandria database. Energies are from GGA-PBE.

Geometry as POSCAR:
```
ScSeOF2
1.0
4.0519 0.0000 0.0000
0.0000 4.0519 0.0000
0.0000 0.0000 4.3604
Sc Se O F
1 1 1 2
Direct
0.0000 0.0000 0.0000
0.5000 0.5000 0.5000
0.0000 0.0000 0.5000
0.0000 0.5000 0.0000
0.5000 0.0000 0.0000
```

Space-group type: P4/mmm
DOS at the Fermi energy in states/eV/f.u.: 3.06

What should be chosen as the least stable of them? Choose (w).

(w)
Here is crystalline SrScOF2 at its relaxed geometry from the Alexandria database. Energies are from GGA-PBE.

Geometry as POSCAR:
```
SrScOF2
1.0
4.3274 0.0000 0.0000
0.0000 4.3274 0.0000
0.0000 0.0000 4.1288
Sr Sc O F
1 1 1 2
Direct
0.0000 0.0000 0.0000
0.5000 0.5000 0.5000
0.5000 0.5000 0.0000
0.0000 0.5000 0.5000
0.5000 0.0000 0.5000
```

Space-group type: P4/mmm
DOS at the Fermi energy in states/eV/f.u.: 3.14

(x)
Here is crystalline SrScOF2 at its relaxed geometry from the Alexandria database. Energies are from GGA-PBE.

Geometry as POSCAR:
```
SrScOF2
1.0
4.4796 0.0000 0.0000
0.0000 4.4796 0.0000
0.0000 0.0000 4.8758
Sr Sc O F
1 1 1 2
Direct
0.0000 0.0000 0.0000
0.5000 0.5000 0.5000
0.0000 0.0000 0.5000
0.0000 0.5000 0.0000
0.5000 0.0000 0.0000
```

Space-group type: P4/mmm
DOS at the Fermi energy in states/eV/f.u.: 3.89

What should be chosen as the least stable of them? Choose (x).

(w)
Here is crystalline ScTeOF2 at its relaxed geometry from the Alexandria database. Energies are from GGA-PBE.

Geometry as POSCAR:
```
ScTeOF2
1.0
4.0732 0.0000 0.0000
0.0000 4.0732 0.0000
0.0000 0.0000 4.5455
Sc Te O F
1 1 1 2
Direct
0.0000 0.0000 0.0000
0.5000 0.5000 0.5000
0.0000 0.0000 0.5000
0.0000 0.5000 0.0000
0.5000 0.0000 0.0000
```

Space-group type: P4/mmm
DOS at the Fermi energy in states/eV/f.u.: 3.01

(x)
Here is crystalline ScTeOF2 at its relaxed geometry from the Alexandria database. Energies are from GGA-PBE.

Geometry as POSCAR:
```
ScTeOF2
1.0
4.0977 0.0000 0.0000
0.0000 4.0977 0.0000
0.0000 0.0000 5.9153
Sc Te O F
1 1 1 2
Direct
0.0000 0.0000 0.0000
0.0000 0.0000 0.5000
0.5000 0.5000 0.0000
0.0000 0.5000 0.5000
0.5000 0.0000 0.5000
```

Space-group type: P4/mmm
DOS at the Fermi energy in states/eV/f.u.: 3.19

What should be chosen as the least stable of them? Choose (x).